# Tc2Pt2N

Tc2Pt2N after structural relaxation (PBE, the Alexandria database).

a = 5.6413 Å, b = 5.6413 Å, c = 4.6269 Å
α = 90.00°, β = 90.00°, γ = 90.00°
With the nearest neighbours (Å) after each atom.
Fractional coordinates of all 10 atoms:
Tc1 0.8550 0.3550 0.5000  1 Tc 2.31
Tc2 0.3550 0.1450 0.5000  1 Tc 2.31
Tc3 0.6450 0.8550 0.5000  1 Tc 2.31
Tc4 0.1450 0.6450 0.5000  1 Tc 2.31
N1 0.0000 0.0000 0.0000  4 Pt 2.07
N2 0.5000 0.5000 0.0000  4 Pt 2.07
Pt1 0.3209 0.8209 0.0000  2 N 2.07
Pt2 0.6791 0.1791 0.0000  2 N 2.07
Pt3 0.1791 0.3209 0.0000  2 N 2.07
Pt4 0.8209 0.6791 0.0000  2 N 2.07

For the density of states at the Fermi level, the calculation gives 11.75 states/eV/cell. For the total energy, the calculation gives -7.240 eV per atom. The space-group type is P4/mbm, No. 127. As for the energy above the most stable polymorph in this dataset: 0.000 eV per atom. Its raw formation energy is 0.9879 eV per atom. The total magnetic moment is 0.187 μB/atom.

# AlCrAg2

AlCrAg2 after structural relaxation (PBE, the Alexandria database).

a = 4.0632 Å, b = 4.0551 Å, c = 4.0373 Å
α = 90.00°, β = 90.00°, γ = 90.00°
With the nearest neighbours (Å) after each atom.
Fractional coordinates of all 4 atoms:
Ag1 0.5000 0.5000 0.0000  4 Al 2.86, 4 Cr 2.86, 4 Ag 2.87
Ag2 0.0000 0.0000 0.0000  4 Cr 2.86, 4 Al 2.86, 4 Ag 2.87
Al1 0.5000 0.0000 0.5000  8 Ag 2.86, 4 Cr 2.87
Cr1 0.0000 0.5000 0.5000  8 Ag 2.86, 4 Al 2.87

The energy relative to the elements comes out at 165 meV/atom. For the density of states at the Fermi level, the calculation gives 1.54 states/eV/cell. For the total energy, the calculation gives -4.602 eV per atom. The space-group type is P4/mmm, No. 123. The total magnetic moment is 0.892 μB/atom.

# MgMn2ZnN

MgMn2ZnN after structural relaxation (PBE, the Alexandria database).

a = 3.8155 Å, b = 3.8155 Å, c = 4.2010 Å
α = 90.00°, β = 90.00°, γ = 90.00°
With the nearest neighbours (Å) after each atom.
Fractional coordinates of all 5 atoms:
Mg1 0.0000 0.0000 0.5000  2 N 2.10
N1 0.0000 0.0000 0.0000  4 Mn 1.91, 2 Mg 2.10
Zn1 0.5000 0.5000 0.5000  4 Mg 2.70, 8 Mn 2.84
Mn1 0.5000 0.0000 0.0000  2 N 1.91
Mn2 0.0000 0.5000 0.0000  2 N 1.91

For the density of states at the Fermi level, the calculation gives 2.74 states/eV/cell. For the total energy, the calculation gives -6.084 eV per atom. The space-group type is P4/mmm, No. 123. Its raw formation energy is -0.1769 eV per atom. The total magnetic moment is 0.708 μB/atom.

> Look up the total magnetic moment of the third one.

0.708 μB/atom